[1]
DFT (PBE) results for a relaxed structure of PRu.

Computed properties:
Polymorph energy (0 for the lowest one) in kJ/mol of formula units: 38
DOS at the Fermi energy in states/eV per cell: 0.8
ΔE_f in eV per atom: -0.363
E_tot in eV/atom: -7.706
Size of the total moment in μB/cell: 0.00
Density in g cm⁻³: 8.32

Cell lengths 4.7241, 4.7241, 4.7241 Å; angles 90.00, 90.00, 90.00 degrees
Fractional coordinates of all 8 atoms:
P: 0.4281 0.4281 0.4281
P: 0.5719 0.9281 0.0719
P: 0.0719 0.5719 0.9281
P: 0.9281 0.0719 0.5719
Ru: 0.5678 0.4322 0.9322
Ru: 0.0678 0.0678 0.0678
Ru: 0.9322 0.5678 0.4322
Ru: 0.4322 0.9322 0.5678

***

[2]
DFT (PBE) results for a relaxed structure of NpAgHgPb.

Computed properties:
DOS at the Fermi energy in states/eV per cell: 10.1
ΔE_f in eV per atom: 0.195
E_tot in eV/atom: -4.756
Size of the total moment in μB/cell: 4.18
Density in g cm⁻³: 12.70

Cell lengths 5.1824, 5.1824, 5.1824 Å; angles 60.00, 60.00, 60.00 degrees
Last column: magnetic moment on the atom in μB.
Fractional coordinates of all 4 atoms:
Pb: 0.2500 0.2500 0.2500  -0.02
Ag: 0.0000 0.0000 0.0000  0.00
Np: 0.5000 0.5000 0.5000  4.02
Hg: 0.7500 0.7500 0.7500  0.01

***

[3]
DFT (PBE) results for a relaxed structure of K3ScBi3Te8.

Computed properties:
Formation energy (no corrections) in eV per atom: -0.66
DOS at the Fermi energy in states/eV per cell: 12.0
E_tot in eV/atom: -3.752
Size of the total moment in μB/cell: 0.00
Density in g cm⁻³: 5.10

Cell lengths 8.8613, 8.8982, 10.0427 Å; angles 116.51, 90.00, 119.86 degrees
Fractional coordinates of all 15 atoms:
Te: 0.2464 0.0234 0.3004
Te: 0.7536 0.9766 0.6996
Te: 0.2230 0.9766 0.6996
Te: 0.7770 0.5541 0.3004
Te: 0.2624 0.5249 0.2869
Te: 0.7376 0.4751 0.7131
Te: 0.2230 0.4459 0.6996
Te: 0.7770 0.0234 0.3004
Bi: 0.0000 0.5000 0.5000
Bi: 0.5000 0.0000 0.5000
Bi: 0.5000 0.5000 0.5000
K: 0.0000 0.5000 0.0000
K: 0.0000 0.0000 0.0000
K: 0.5000 0.5000 0.0000
Sc: 0.0000 0.0000 0.5000

***

[4]
DFT (PBE) results for a relaxed structure of Ce2Zn3Tc.

Computed properties:
DOS at the Fermi energy in states/eV per cell: 8.0
ΔE_f in eV per atom: -0.243
E_tot in eV/atom: -4.585
Size of the total moment in μB/cell: 0.00
Density in g cm⁻³: 8.54

Cell lengths 5.2299, 5.2299, 5.5954 Å; angles 90.11, 117.92, 119.79 degrees
Fractional coordinates of all 6 atoms:
Ce: 0.2718 0.6356 0.9074
Ce: 0.7282 0.3644 0.0926
Zn: 0.5000 0.5000 0.5000
Zn: 0.0000 0.0000 0.5000
Zn: 0.5000 0.0000 0.5000
Tc: 0.0000 0.0000 0.0000

***

[5]
DFT (PBE) results for a relaxed structure of MnZnW2.

Computed properties:
DOS at the Fermi energy in states/eV per cell: 2.7
ΔE_f in eV per atom: 0.281
E_tot in eV/atom: -8.806
Size of the total moment in μB/cell: 0.86
Density in g cm⁻³: 14.10

Cell lengths 2.7555, 3.8304, 5.4441 Å; angles 90.00, 90.00, 90.00 degrees
Last column: magnetic moment on the atom in μB.
Fractional coordinates of all 4 atoms:
W: 0.0000 0.0000 0.9884  -0.12
W: 0.0000 0.0000 0.5116  -0.12
Zn: 0.5000 0.5000 0.2500  0.00
Mn: 0.5000 0.5000 0.7500  1.12

***

[6]
DFT (PBE) results for a relaxed structure of RbAu2Se2.

Computed properties:
Formation energy (no corrections) in eV per atom: -0.41
Polymorph energy (0 for the lowest one) in kJ/mol of formula units: 0
DOS at the Fermi energy in states/eV per cell: 2.5
E_tot in eV/atom: -3.310
Size of the total moment in μB/cell: 0.00
Density in g cm⁻³: 6.58

Cell lengths 6.3590, 7.4867, 7.4867 Å; angles 89.29, 107.89, 107.89 degrees
Fractional coordinates of all 10 atoms:
Au: 0.5000 0.5000 0.5000
Au: 0.0000 0.0000 0.5000
Au: 0.5000 0.5000 0.0000
Au: 0.0000 0.5000 0.5000
Se: 0.6472 0.7173 0.7861
Se: 0.8528 0.2139 0.2827
Se: 0.3528 0.2827 0.2139
Se: 0.1472 0.7861 0.7173
Rb: 0.7500 0.1988 0.8012
Rb: 0.2500 0.8012 0.1988